Record 1
Crystalline CeVReSi2 at its relaxed geometry. Source: the Alexandria database, functional PBE.

Properties
raw formation energy	-541	meV per atom
E_tot	-8.211	eV per atom
magnetic moment	0.73	μB/cell

a = 3.9632 Å, b = 3.9632 Å, c = 10.9616 Å
α = 90.00°, β = 90.00°, γ = 90.00°
Space group I-4m2 (No. 119)
Unique sites:
Ce (0.0000, 0.0000, 0.0000) [2 per cell]
V (0.0000, 0.5000, 0.2500) [2 per cell]
Re (0.0000, 0.5000, 0.7500) [2 per cell]
Si (0.0000, 0.0000, 0.3873) [4 per cell]

Record 2
Crystalline Ce2SmRe at its relaxed geometry. Source: the Alexandria database, functional PBE.

Properties
E_tot	-7.108	eV per atom
ΔE to the lowest computed polymorph	0.000	eV per atom
magnetic moment	0.00	μB/cell

a = 3.4291 Å, b = 3.4291 Å, c = 8.8694 Å
α = 90.00°, β = 90.00°, γ = 90.00°
Space group P4/mmm (No. 123)
Unique sites:
Ce (0.0000, 0.0000, 0.1973) [2 per cell]
Sm (0.5000, 0.5000, 0.5000) [1 per cell]
Re (0.5000, 0.5000, 0.0000) [1 per cell]

Question: Which of these has the highest E_tot?
Answer: Ce2SmRe